# Pr2Dy5Y2

A geometry-optimized Pr2Dy5Y2 structure (PBE, Alexandria).

## Properties
**Total magnetization**: 0.00 μB/cell
**Energy**: -43.47 eV for the cell shown
**Energy of formation**: 0.2258 eV/atom
**Energy above the lowest structure with this stoichiometry**: 0.022 eV per atom

Lattice parameters (Å, degrees): 3.506 8.277 12.626 120.67 97.98 90.00
Positions (direct):
Y 0.547 0.738 0.094
Y 0.453 0.262 0.906
Dy 0.000 0.000 0.000
Dy 0.691 0.851 0.381
Dy 0.309 0.149 0.619
Dy 0.904 0.543 0.807
Dy 0.096 0.457 0.193
Pr 0.182 0.219 0.364
Pr 0.818 0.781 0.636